(1)
## LiPrNiS3 (PBE)

Data for an optimized crystal structure of LiPrNiS3.

a = 3.876 Å, b = 6.118 Å, c = 10.921 Å
α = 90.00°, β = 90.00°, γ = 71.53°
Site moments in Bohr magnetons follow the coordinates.
Sites, in units of the cell vectors:
Pr 0.000 0.000 0.000  0.02
Pr 0.000 0.000 0.500  0.01
S 0.349 0.302 0.599  0.10
S 0.349 0.302 0.901  0.10
S 0.919 0.161 0.250  0.13
S 0.651 0.698 0.401  0.10
S 0.081 0.839 0.750  0.13
S 0.651 0.698 0.099  0.10
Ni 0.518 0.965 0.250  0.80
Ni 0.482 0.035 0.750  0.80
Li 0.775 0.450 0.750  0.00
Li 0.225 0.550 0.250  0.00

---

(2)
## NdZr2 (PBE)

Data for an optimized crystal structure of NdZr2.

a = 5.843 Å, b = 5.843 Å, c = 5.383 Å
α = 90.00°, β = 90.00°, γ = 60.00°
Sites, in units of the cell vectors:
Nd 0.333 0.333 0.000
Nd 0.000 0.000 0.000
Zr 0.360 0.667 0.500
Zr 0.974 0.360 0.500
Zr 0.667 0.667 0.000
Zr 0.667 0.974 0.500

Output
Energy above the most stable polymorph in this dataset: 62 meV/atom

---

Short version: calculated total energy = -0.38503 -0.52424 Ry/atom, in the order given.